# 1
# PBE NbO2F, relaxed
# - formation energy from raw total energies (meV/atom) = -1582
data_NbO2F
_symmetry_space_group_name_H-M 'R -3 m'
_symmetry_Int_Tables_number 166
_symmetry_space_group_name_Hall '-R 3 2"'
_cell_length_a 3.2101
_cell_length_b 3.2101
_cell_length_c 19.1082
_cell_angle_alpha 90.00
_cell_angle_beta 90.00
_cell_angle_gamma 120.00
loop_
_atom_site_label
_atom_site_fract_x
_atom_site_fract_y
_atom_site_fract_z
Nb1 0.0000 0.0000 0.0000
O1 0.0000 0.0000 0.3818
F1 0.0000 0.0000 0.5000



# 2
# PBE CaAc2Nd2, relaxed
# - E_form (eV/f.u.) = 1.00
# - energy relative to the lowest polymorph listed for this composition (eV/atom) = 0.1733
data_CaAc2Nd2
_symmetry_space_group_name_H-M 'I m m m'
_symmetry_Int_Tables_number 71
_symmetry_space_group_name_Hall '-I 2 2'
_cell_length_a 5.490
_cell_length_b 8.251
_cell_length_c 9.118
_cell_angle_alpha 90.00
_cell_angle_beta 90.00
_cell_angle_gamma 90.00
loop_
_atom_site_label
_atom_site_fract_x
_atom_site_fract_y
_atom_site_fract_z
Ca1 0.000 0.000 0.000
Ac1 0.000 0.500 0.205
Nd1 0.000 0.203 0.500